# Ta2CoNi (PBE-GGA, optimized geometry)
data_Ta2CoNi
_cell_length_a 2.8147
_cell_length_b 2.8147
_cell_length_c 25.8608
_cell_angle_alpha 90.00
_cell_angle_beta 90.00
_cell_angle_gamma 120.00
_symmetry_space_group_name_H-M 'R -3 m'
_symmetry_Int_Tables_number 166
_symmetry_space_group_name_Hall '-R 3 2"'
loop_
_atom_site_label
_atom_site_type_symbol
_atom_site_fract_x
_atom_site_fract_y
_atom_site_fract_z
Ta1 Ta 0.0000 0.0000 0.2488
Co1 Co 0.0000 0.0000 0.5000
Ni1 Ni 0.0000 0.0000 0.0000
# - Excess energy over the best structure of this formula in the dataset: 0.356 eV per atom